Record 1
A plane-wave DFT calculation with GGA-PBE was carried out for crystalline Mg2ZrPt at its relaxed geometry.

Cell: 7.916 7.916 5.449 Å, 90.00 90.00 90.00°
Positions (direct):
Mg: 0.196 0.250 0.125
Mg: 0.250 0.696 0.375
Mg: 0.250 0.804 0.875
Mg: 0.304 0.250 0.625
Mg: 0.696 0.750 0.625
Mg: 0.750 0.196 0.875
Mg: 0.750 0.304 0.375
Mg: 0.804 0.750 0.125
Zr: 0.000 0.000 0.500
Zr: 0.000 0.500 0.750
Zr: 0.500 0.000 0.250
Zr: 0.500 0.500 0.000
Pt: 0.000 0.000 0.000
Pt: 0.000 0.500 0.250
Pt: 0.500 0.000 0.750
Pt: 0.500 0.500 0.500

## Properties
SG   I-42d (122)
E_form   -0.6 eV/f.u.


Record 2
A plane-wave DFT calculation with GGA-PBE was carried out for crystalline TaSN2F at its relaxed geometry.

Cell: 4.012 4.012 4.961 Å, 90.00 90.00 90.00°
Positions (direct):
Ta: 0.000 0.000 0.000
S: 0.000 0.000 0.500
N: 0.000 0.500 0.000
N: 0.500 0.000 0.000
F: 0.500 0.500 0.500

## Properties
Excess energy over the best structure of this formula in the dataset   352.4 meV per atom
Formation energy from raw total energies   0.32 eV per atom
SG   P4/mmm (123)


Record 3
A plane-wave DFT calculation with GGA-PBE was carried out for crystalline La3Zn4Pd2 at its relaxed geometry.

Cell: 5.995 5.995 8.750 Å, 110.19 110.19 44.40°
Positions (direct):
La: 0.000 0.000 0.000
La: 0.324 0.324 0.344
La: 0.676 0.676 0.656
Zn: 0.040 0.040 0.378
Zn: 0.277 0.277 0.945
Zn: 0.723 0.723 0.055
Zn: 0.960 0.960 0.622
Pd: 0.396 0.396 0.730
Pd: 0.604 0.604 0.270

## Properties
SG   C2/m (12)
E_form   -5.2 eV/f.u.


Record 4
A plane-wave DFT calculation with GGA-PBE was carried out for crystalline Zr5Si at its relaxed geometry.

Cell: 11.169 3.240 7.414 Å, 90.00 105.84 90.00°
Positions (direct):
Zr: 0.000 0.000 0.000
Zr: 0.027 0.000 0.620
Zr: 0.145 0.500 0.335
Zr: 0.303 0.000 0.694
Zr: 0.357 0.000 0.249
Zr: 0.500 0.500 0.000
Zr: 0.527 0.500 0.620
Zr: 0.645 0.000 0.335
Zr: 0.803 0.500 0.694
Zr: 0.857 0.500 0.249
Si: 0.208 0.500 0.952
Si: 0.708 0.000 0.952

## Properties
Excess energy over the best structure of this formula in the dataset   61.5 meV per atom
Formation energy from raw total energies   -0.16 eV per atom
SG   Cm (8)